Pr12Dy2Ho5 | GGA-PBE | relaxed

Computed properties:
VASP energy = -4.590 eV/atom
Energy above the most stable polymorph in this dataset = 0 meV per atom
Magnetization = 0.000 μB/atom
Calculated volume = 34.81 Å³ per atom

CIF file:
```
data_Pr12Dy2Ho5
_cell_length_a 16.027
_cell_length_b 9.373
_cell_length_c 8.810
_cell_angle_alpha 90.00
_cell_angle_beta 91.92
_cell_angle_gamma 90.00
_space_group_name_H-M_alt 'C 1 2/m 1'
_space_group_IT_number 12
loop_
_space_group_symop_operation_xyz
'x,y,z'
'-x,-y,-z'
'-x,y,-z'
'x,-y,z'
'x+1/2,y+1/2,z'
'-x+1/2,-y+1/2,-z'
'-x+1/2,y+1/2,-z'
'x+1/2,-y+1/2,z'
loop_
_atom_site_label
_atom_site_fract_x
_atom_site_fract_y
_atom_site_fract_z
Pr1 0.062 0.000 0.343
Pr2 0.082 0.500 0.883
Pr3 0.129 0.197 0.679
Pr4 0.152 0.318 0.237
Dy1 0.000 0.170 0.000
Ho1 0.000 0.500 0.500
Ho2 0.202 0.000 0.029
Ho3 0.231 0.500 0.567
```